A relaxed BaLi3Ga2 crystal, computed with GGA-PBE.

```
BaLi3Ga2
1.0
-0.2268 -4.9861 2.5142
4.1415 2.4233 5.1795
-6.3279 1.6348 2.6713
Ba Li Ga
2 6 4
Direct
0.2500 0.3288 0.3288
0.7500 0.6712 0.6712
0.7500 0.4637 0.0634
0.7500 0.0634 0.4637
0.2500 0.5363 0.9366
0.7500 0.0468 0.0468
0.2500 0.9532 0.9532
0.2500 0.9366 0.5363
0.5000 0.7842 0.2158
0.0000 0.7842 0.2158
0.0000 0.2158 0.7842
0.5000 0.2158 0.7842
```

space group	Cmcm
spin magnetization	0.13	μB per formula unit
energy relative to the lowest polymorph listed for this composition	0	meV per atom
formation enthalpy at 0 K	-0.242	eV per atom